Entry from Alexandria via LeMat-Bulk: crystalline Pa2TiBe at its relaxed geometry (PBE).

extended XYZ file:
```
4
Lattice="4.384 0.000 0.000 0.000 4.212 0.000 0.000 0.000 4.212" Properties=species:S:1:pos:R:3 pbc="T T T"
Be 2.192 2.106 2.106
Pa 0.000 0.000 2.106
Pa 0.000 2.106 0.000
Ti 2.192 0.000 0.000
```

E above lowest polymorph in eV per atom: 0.000
Final energy in eV per cell: -29.90
Magnetization in Bohr magnetons per cell: 0.0
Energy relative to the elements in kJ per mole of atoms: 17.20
Crystal system: tetragonal